Density functional theory data (PBE-GGA) for a geometry-optimized NpNbTc2 structure.

Unit cell a=3.226 b=4.647 c=4.647 alpha=90.00 beta=90.00 gamma=90.00
Element x y z (fractional)
Np: 0.500 0.500 0.500
Nb: 0.500 0.000 0.000
Tc: 0.000 0.000 0.500
Tc: 0.000 0.500 0.000

**Energy relative to the elements**: -36 meV per atom
**Total magnetic moment**: 2.19 μB per formula unit
**DOS at the Fermi energy**: 4.22 states/eV/f.u.
**Space-group type**: No. 123

Density functional theory data (PBE-GGA) for a geometry-optimized NpNbTc2 structure.

Unit cell a=4.624 b=4.624 c=4.624 alpha=60.00 beta=60.00 gamma=60.00
Element x y z (fractional)
Np: 0.000 0.000 0.000
Nb: 0.500 0.500 0.500
Tc: 0.250 0.250 0.250
Tc: 0.750 0.750 0.750

**Energy relative to the elements**: -9 meV per atom
**Total magnetic moment**: 2.88 μB per formula unit
**DOS at the Fermi energy**: 5.48 states/eV/f.u.
**Space-group type**: No. 225

Density functional theory data (PBE-GGA) for a geometry-optimized NpNbTc structure.

Unit cell a=3.710 b=3.710 c=4.825 alpha=112.61 beta=112.61 gamma=90.00
Element x y z (fractional)
Np: 0.284 0.284 0.567
Nb: 0.968 0.968 0.936
Tc: 0.599 0.599 0.197

**Energy relative to the elements**: 368 meV per atom
**Total magnetic moment**: 1.98 μB per formula unit
**DOS at the Fermi energy**: 6.47 states/eV/f.u.
**Space-group type**: No. 107

Density functional theory data (PBE-GGA) for a geometry-optimized NpNbTc structure.

Unit cell a=5.889 b=3.027 c=7.338 alpha=101.90 beta=113.66 gamma=90.00
Element x y z (fractional)
Nb: 0.625 0.125 0.251
Nb: 0.375 0.875 0.749
Tc: 0.769 0.500 0.000
Tc: 0.231 0.500 0.000
Np: 0.174 0.674 0.348
Np: 0.826 0.326 0.652

**Energy relative to the elements**: 436 meV per atom
**Total magnetic moment**: 3.27 μB per formula unit
**DOS at the Fermi energy**: 7.14 states/eV/f.u.
**Space-group type**: No. 71